Model P:
## MgTlCd2 (PBE-GGA)

Data for a geometry-optimized MgTlCd2 structure.

a b c (Å): 5.797 3.317 10.383
angles (deg): 90.00 98.74 90.00
Sites, in units of the cell vectors:
Mg 0.000 0.000 0.000
Mg 0.500 0.500 0.000
Tl 0.335 0.500 0.501
Tl 0.835 0.000 0.501
Cd 0.262 0.000 0.767
Cd 0.402 0.000 0.233
Cd 0.762 0.500 0.767
Cd 0.902 0.500 0.233

Results
Space-group type: Cm, No. 8
Density of states at the Fermi level (states/eV/cell): 2.49

---

Model Q:
## MgTlCd2 (PBE-GGA)

Data for a geometry-optimized MgTlCd2 structure.

a b c (Å): 3.344 3.344 30.628
angles (deg): 90.00 90.00 120.00
Sites, in units of the cell vectors:
Mg 0.000 0.000 0.000
Mg 0.333 0.667 0.667
Mg 0.667 0.333 0.333
Tl 0.000 0.000 0.500
Tl 0.333 0.667 0.167
Tl 0.667 0.333 0.833
Cd 0.000 0.000 0.256
Cd 0.000 0.000 0.744
Cd 0.333 0.667 0.410
Cd 0.333 0.667 0.923
Cd 0.667 0.333 0.077
Cd 0.667 0.333 0.590

Results
Space-group type: R-3m, No. 166
Density of states at the Fermi level (states/eV/cell): 8.58

---

Model R:
## MgTlCd2 (PBE-GGA)

Data for a geometry-optimized MgTlCd2 structure.

a b c (Å): 8.385 8.385 6.050
angles (deg): 90.00 90.00 90.00
Sites, in units of the cell vectors:
Mg 0.000 0.000 0.000
Mg 0.000 0.500 0.250
Mg 0.500 0.000 0.750
Mg 0.500 0.500 0.500
Tl 0.000 0.000 0.500
Tl 0.000 0.500 0.750
Tl 0.500 0.000 0.250
Tl 0.500 0.500 0.000
Cd 0.238 0.250 0.125
Cd 0.250 0.738 0.375
Cd 0.250 0.762 0.875
Cd 0.262 0.250 0.625
Cd 0.738 0.750 0.625
Cd 0.750 0.238 0.875
Cd 0.750 0.262 0.375
Cd 0.762 0.750 0.125

Results
Space-group type: I-42d, No. 122
Density of states at the Fermi level (states/eV/cell): 6.45

---

The structure with the greatest stability is model P.

---

Model P:
## MgTlCd2 (PBE-GGA)

Data for a geometry-optimized MgTlCd2 structure.

a b c (Å): 7.322 7.322 7.322
angles (deg): 90.00 90.00 90.00
Sites, in units of the cell vectors:
Mg 0.000 0.000 0.000
Mg 0.000 0.500 0.500
Mg 0.500 0.000 0.500
Mg 0.500 0.500 0.000
Tl 0.250 0.250 0.750
Tl 0.250 0.750 0.250
Tl 0.750 0.250 0.250
Tl 0.750 0.750 0.750
Cd 0.000 0.000 0.500
Cd 0.000 0.500 0.000
Cd 0.250 0.250 0.250
Cd 0.250 0.750 0.750
Cd 0.500 0.000 0.000
Cd 0.500 0.500 0.500
Cd 0.750 0.250 0.750
Cd 0.750 0.750 0.250

Results
Space-group type: F-43m, No. 216
Density of states at the Fermi level (states/eV/cell): 3.22

---

Model Q:
## MgTlCd2 (PBE-GGA)

Data for a geometry-optimized MgTlCd2 structure.

a b c (Å): 4.549 4.566 9.260
angles (deg): 90.00 90.00 90.00
Sites, in units of the cell vectors:
Mg 0.000 0.000 0.000
Mg 0.500 0.500 0.500
Tl 0.000 0.500 0.750
Tl 0.500 0.000 0.250
Cd 0.000 0.000 0.500
Cd 0.000 0.500 0.250
Cd 0.500 0.000 0.750
Cd 0.500 0.500 0.000

Results
Space-group type: Imm2, No. 44
Density of states at the Fermi level (states/eV/cell): 3.75

---

The structure with the greatest stability is model Q.

---

Model P:
## MgTlCd (PBE-GGA)

Data for a geometry-optimized MgTlCd structure.

a b c (Å): 5.130 5.130 3.296
angles (deg): 90.00 90.00 120.00
Sites, in units of the cell vectors:
Mg 0.000 0.000 0.000
Tl 0.667 0.333 0.376
Cd 0.333 0.667 0.670

Results
Space-group type: P3m1, No. 156
Density of states at the Fermi level (states/eV/cell): 0.59

---

Model Q:
## MgTlCd (PBE-GGA)

Data for a geometry-optimized MgTlCd structure.

a b c (Å): 3.663 5.406 15.482
angles (deg): 90.00 90.00 90.00
Sites, in units of the cell vectors:
Mg 0.000 0.000 0.000
Mg 0.000 0.500 0.500
Mg 0.500 0.000 0.500
Mg 0.500 0.500 0.000
Tl 0.000 0.000 0.673
Tl 0.000 0.500 0.173
Tl 0.500 0.000 0.173
Tl 0.500 0.500 0.673
Cd 0.000 0.000 0.348
Cd 0.000 0.500 0.848
Cd 0.500 0.000 0.848
Cd 0.500 0.500 0.348

Results
Space-group type: Fmm2, No. 42
Density of states at the Fermi level (states/eV/cell): 6.21

---

Model R:
## MgTlCd (PBE-GGA)

Data for a geometry-optimized MgTlCd structure.

a b c (Å): 3.371 3.389 15.178
angles (deg): 83.77 84.18 60.30
Sites, in units of the cell vectors:
Mg 0.000 0.000 0.000
Mg 0.193 0.172 0.467
Tl 0.475 0.444 0.638
Tl 0.723 0.725 0.829
Cd 0.290 0.280 0.155
Cd 0.909 0.889 0.312

Results
Space-group type: P1, No. 1
Density of states at the Fermi level (states/eV/cell): 1.76

---

The structure with the greatest stability is model R.